(1)
First-principles (GGA-PBE) data for a relaxed ThMg2Tl3Se6 crystal, as listed in the Alexandria database.

abc: 7.1628 7.1628 7.8814
angles: 98.83 98.83 119.96
Positions (direct):
1 Se 0.4142 0.0688 0.2068
2 Se 0.5858 0.9312 0.7932
3 Se 0.9312 0.5858 0.7932
4 Se 0.2788 0.2788 0.7970
5 Se 0.0688 0.4142 0.2068
6 Se 0.7212 0.7212 0.2030
7 Tl 0.1635 0.8365 0.5000
8 Tl 0.8365 0.1635 0.5000
9 Tl 0.5000 0.5000 0.5000
10 Mg 0.3322 0.6678 0.0000
11 Mg 0.6678 0.3322 0.0000
12 Th 0.0000 0.0000 0.0000

ρ: 6.81 g/cm³
formation energy (no corrections): -0.965 eV per atom

(2)
First-principles (GGA-PBE) data for a relaxed Mg2TiSe2 crystal, as listed in the Alexandria database.

abc: 7.5868 7.5868 3.5405
angles: 90.00 90.00 90.00
Each line ends with the local moment (μB).
Positions (direct):
1 Ti 0.0000 0.0000 0.0000  1.85
2 Ti 0.5000 0.5000 0.0000  1.85
3 Mg 0.3653 0.8653 0.0000  0.01
4 Mg 0.8653 0.6347 0.0000  0.01
5 Mg 0.6347 0.1347 0.0000  0.01
6 Mg 0.1347 0.3653 0.0000  0.01
7 Se 0.3262 0.1738 0.5000  0.00
8 Se 0.1738 0.6738 0.5000  -0.01
9 Se 0.6738 0.8262 0.5000  0.00
10 Se 0.8262 0.3262 0.5000  -0.01

ρ: 4.15 g/cm³
formation energy (no corrections): -0.236 eV per atom
energy above the lowest structure with this stoichiometry: 0.0 meV/atom

Q: Which Fermi-level density of states values were calculated for the entries above? A: 6.19; 11.07, in states/eV per cell.